1.
Density functional theory data (GGA-PBEsol) for a relaxed structure of HoB2C.

Geometry as extended XYZ:
```
32
Lattice="6.7486 0.0000 0.0000 0.0000 6.7486 0.0000 0.0000 0.0000 7.2840" Properties=species:S:1:pos:R:3 pbc="T T T"
Ho 1.2855 2.0888 1.8210
Ho 2.0888 5.4632 1.8210
Ho 2.0888 5.4632 5.4630
Ho 1.2855 2.0888 5.4630
Ho 4.6598 1.2855 1.8210
Ho 4.6598 1.2855 5.4630
Ho 5.4632 4.6598 1.8210
Ho 5.4632 4.6598 5.4630
B 3.1440 2.3525 3.6420
B 0.2303 5.7268 3.6420
B 4.0277 6.1146 0.0000
B 6.1146 2.7209 3.6420
B 2.3525 3.6046 0.0000
B 1.0218 0.2303 0.0000
B 4.0083 6.0953 3.6420
B 3.6046 4.3961 3.6420
B 5.7268 6.5183 0.0000
B 6.0953 2.7403 0.0000
B 0.6340 4.0277 3.6420
B 6.5183 1.0218 3.6420
B 0.6534 4.0083 0.0000
B 2.7403 0.6534 3.6420
B 4.3961 3.1440 0.0000
B 2.7209 0.6340 0.0000
C 5.5471 6.4739 3.6420
C 0.2748 5.5471 0.0000
C 4.5759 3.0995 3.6420
C 1.2016 0.2748 3.6420
C 6.4739 1.2016 0.0000
C 3.6491 4.5759 0.0000
C 3.0995 2.1728 0.0000
C 2.1728 3.6491 3.6420
```

VASP energy: -7.766 eV/atom
Space group: P4_2/mbc

=====

2.
Density functional theory data (GGA-PBEsol) for a relaxed structure of BCI3.

Geometry as extended XYZ:
```
5
Lattice="4.9791 0.0000 0.0000 0.0000 4.9791 0.0000 0.0000 0.0000 4.9791" Properties=species:S:1:pos:R:3 pbc="T T T"
I 2.4896 0.0000 0.0000
I 0.0000 0.0000 2.4896
I 0.0000 2.4896 0.0000
B 0.0000 0.0000 0.0000
C 2.4896 2.4896 2.4896
```

VASP energy: -2.398 eV/atom
Space group: Pm-3m

=====

Question: What is the VASP energy in the first record?
Answer: -7.766 eV/atom